Entry 1:
Below is ZnHI after structural relaxation, with properties calculated at the GGA-PBE level.

Calculated values
Crystal system ... monoclinic
E above lowest polymorph ... 7 meV/atom
N(E_F) ... 0.000 states/eV/atom
Final energy ... -2.2500 eV per atom
Space-group type ... No. 14

Cell: 7.122 7.003 7.241 Å, 90.00 105.20 90.00°
Element x y z (fractional)
1 Zn 0.118 0.114 0.478
2 Zn 0.118 0.386 0.978
3 Zn 0.882 0.614 0.022
4 Zn 0.882 0.886 0.522
5 H 0.136 0.609 0.093
6 H 0.136 0.891 0.593
7 H 0.864 0.109 0.407
8 H 0.864 0.391 0.907
9 I 0.281 0.101 0.194
10 I 0.281 0.399 0.694
11 I 0.719 0.601 0.306
12 I 0.719 0.899 0.806



Entry 2:
Below is Ti3AlGa4 after structural relaxation, with properties calculated at the GGA-PBE level.

Calculated values
Crystal system ... orthorhombic
N(E_F) ... 0.646 states/eV/atom
ΔH_f (0 K) ... -0.31 eV/atom
Final energy ... -5.2568 eV per atom
Space-group type ... No. 31

Cell: 9.444 5.298 5.265 Å, 90.00 90.00 90.00°
Element x y z (fractional)
1 Ti 0.000 0.104 0.000
2 Ti 0.244 0.363 0.471
3 Ti 0.256 0.637 0.971
4 Ti 0.500 0.896 0.500
5 Ti 0.744 0.637 0.971
6 Ti 0.756 0.363 0.471
7 Al 0.000 0.586 0.225
8 Al 0.500 0.414 0.725
9 Ga 0.000 0.141 0.497
10 Ga 0.000 0.587 0.741
11 Ga 0.216 0.854 0.454
12 Ga 0.284 0.146 0.954
13 Ga 0.500 0.413 0.241
14 Ga 0.500 0.859 0.997
15 Ga 0.716 0.146 0.954
16 Ga 0.784 0.854 0.454



Entry 3:
Below is CaAgBr2 after structural relaxation, with properties calculated at the GGA-PBE level.

Calculated values
Crystal system ... trigonal
E above lowest polymorph ... 361 meV/atom
N(E_F) ... 0.270 states/eV/atom
Final energy ... -2.7495 eV per atom
Formation energy from raw total energies ... -0.70 eV/atom
Space-group type ... No. 166

Cell: 8.981 8.981 8.981 Å, 27.52 27.52 27.52°
Element x y z (fractional)
1 Ca 0.000 0.000 0.000
2 Ag 0.500 0.500 0.500
3 Br 0.107 0.107 0.107
4 Br 0.893 0.893 0.893



Entry 4:
Below is Eu2DyMg after structural relaxation, with properties calculated at the GGA-PBE level.

Calculated values
Crystal system ... tetragonal
E above lowest polymorph ... 0 meV/atom
N(E_F) ... 1.212 states/eV/atom
ΔH_f (0 K) ... 0.04 eV/atom
Final energy ... -6.6423 eV per atom
Space-group type ... No. 123

Cell: 3.727 3.727 9.843 Å, 90.00 90.00 90.00°
Element x y z (fractional)
1 Eu 0.000 0.000 0.233
2 Eu 0.000 0.000 0.767
3 Dy 0.500 0.500 0.500
4 Mg 0.500 0.500 0.000



no.,magnetization (μB/atom)
1,0.000
2,0.000
3,0.000
4,3.805